The following is a DFT calculation (GGA-PBE) of crystalline Rb2SmHg2Se4 at its relaxed geometry.

a b c (Å): 8.6601 8.6601 8.5978
angles (deg): 112.26 112.26 28.65
Closest atoms and distances in Å follow each position.
Positions (direct):
Rb: 0.1270 0.1270 0.0685  7 Se 3.47-3.73, 1 Hg 3.68
Rb: 0.8730 0.8730 0.9315  7 Se 3.47-3.73, 1 Hg 3.68
Sm: 0.0000 0.0000 0.5000  6 Se 2.97-2.98
Hg: 0.3109 0.3109 0.4812  3 Se 2.75-2.79, 2 Hg 3.06
Hg: 0.6891 0.6891 0.5188  3 Se 2.75-2.79, 2 Hg 3.06
Se: 0.1870 0.1870 0.7247  2 Hg 2.79, 1 Sm 2.97
Se: 0.4776 0.4776 0.7209  1 Hg 2.75, 2 Sm 2.98
Se: 0.5224 0.5224 0.2791  1 Hg 2.75, 2 Sm 2.98
Se: 0.8130 0.8130 0.2753  2 Hg 2.79, 1 Sm 2.97

Output
The space-group type is C2/m. The value obtained for the uncorrected formation energy is -0.975 eV per atom.